A plane-wave DFT calculation with GGA+U was carried out for an optimized crystal structure of Pa2NiO5.

calculated total energy	-8.59	eV per atom

POSCAR file:
```
Pa2NiO5
1.0
2.162 -5.770 0.000
2.162 5.770 0.000
0.000 0.000 11.993
Pa Ni O
4 2 10
Direct
0.141 0.859 0.564 Pa
0.141 0.859 0.936 Pa
0.859 0.141 0.064 Pa
0.859 0.141 0.436 Pa
0.029 0.971 0.250 Ni
0.971 0.029 0.750 Ni
0.051 0.949 0.095 O
0.051 0.949 0.405 O
0.153 0.847 0.750 O
0.316 0.684 0.038 O
0.316 0.684 0.462 O
0.684 0.316 0.538 O
0.684 0.316 0.962 O
0.847 0.153 0.250 O
0.949 0.051 0.595 O
0.949 0.051 0.905 O
```